Record 1
This record from the Alexandria database describes crystalline PmTm3Ir at its relaxed geometry. The functional is PBE.

Unit cell a=7.539 b=6.516 c=6.154 alpha=90.00 beta=90.00 gamma=90.00
Sites, in units of the cell vectors:
Pm1 0.000 0.147 0.000
Pm2 0.500 0.853 0.500
Tm1 0.000 0.847 0.491
Tm2 0.249 0.317 0.498
Tm3 0.251 0.683 0.998
Tm4 0.500 0.153 0.991
Tm5 0.749 0.683 0.998
Tm6 0.751 0.317 0.498
Ir1 0.000 0.508 0.744
Ir2 0.500 0.492 0.244

Calculated values
- excess energy over the best structure of this formula in the dataset (meV per atom) = 0
- magnetization (μB/f.u.) = 0.0
- calculated formation energy (kJ/mol of formula units) = -173
- symmetry = No. 31

---

Record 2
This record from the Alexandria database describes crystalline Pm3Tm4Ir4 at its relaxed geometry. The functional is PBE.

Unit cell a=9.197 b=9.197 c=9.197 alpha=155.17 beta=124.49 gamma=61.72
Sites, in units of the cell vectors:
Pm1 0.000 0.000 0.000
Pm2 0.398 0.898 0.500
Pm3 0.602 0.102 0.500
Tm1 0.023 0.331 0.692
Tm2 0.361 0.669 0.692
Tm3 0.639 0.331 0.308
Tm4 0.977 0.669 0.308
Ir1 0.241 0.241 0.000
Ir2 0.285 0.500 0.785
Ir3 0.715 0.500 0.215
Ir4 0.759 0.759 0.000

Calculated values
- magnetization (μB/f.u.) = 0.0
- calculated formation energy (kJ/mol of formula units) = -725
- symmetry = No. 71

---

Record 3
This record from the Alexandria database describes crystalline Pm5Tm2Ir4 at its relaxed geometry. The functional is PBE.

Unit cell a=11.106 b=11.106 c=7.590 alpha=100.73 beta=100.73 gamma=21.71
Sites, in units of the cell vectors:
Pm1 0.000 0.000 0.000
Pm2 0.339 0.339 0.029
Pm3 0.417 0.417 0.553
Pm4 0.583 0.583 0.447
Pm5 0.661 0.661 0.971
Tm1 0.215 0.215 0.634
Tm2 0.785 0.785 0.366
Ir1 0.106 0.106 0.731
Ir2 0.464 0.464 0.220
Ir3 0.536 0.536 0.780
Ir4 0.894 0.894 0.269

Calculated values
- magnetization (μB/f.u.) = 0.0
- calculated formation energy (kJ/mol of formula units) = -273
- symmetry = No. 12

---

Record 4
This record from the Alexandria database describes crystalline PmTm5Ir6 at its relaxed geometry. The functional is PBE.

Unit cell a=4.697 b=7.128 c=7.438 alpha=90.00 beta=108.34 gamma=90.00
Sites, in units of the cell vectors:
Pm1 0.000 0.000 0.000
Tm1 0.000 0.500 0.000
Tm2 0.332 0.000 0.664
Tm3 0.333 0.500 0.666
Tm4 0.667 0.500 0.334
Tm5 0.668 0.000 0.336
Ir1 0.169 0.253 0.338
Ir2 0.169 0.747 0.338
Ir3 0.500 0.258 0.000
Ir4 0.500 0.742 0.000
Ir5 0.831 0.253 0.662
Ir6 0.831 0.747 0.662

Calculated values
- magnetization (μB/f.u.) = 0.0
- calculated formation energy (kJ/mol of formula units) = -990
- symmetry = No. 10

---

Record 5
This record from the Alexandria database describes crystalline Pm2TmIr at its relaxed geometry. The functional is PBE.

Unit cell a=3.775 b=3.775 c=31.822 alpha=90.00 beta=90.00 gamma=120.00
Sites, in units of the cell vectors:
Pm1 0.000 0.000 0.111
Pm2 0.000 0.000 0.889
Pm3 0.333 0.667 0.556
Pm4 0.333 0.667 0.778
Pm5 0.667 0.333 0.222
Pm6 0.667 0.333 0.444
Tm1 0.000 0.000 0.000
Tm2 0.333 0.667 0.667
Tm3 0.667 0.333 0.333
Ir1 0.000 0.000 0.500
Ir2 0.333 0.667 0.167
Ir3 0.667 0.333 0.833

Calculated values
- excess energy over the best structure of this formula in the dataset (meV per atom) = 482
- magnetization (μB/f.u.) = 0.2
- calculated formation energy (kJ/mol of formula units) = -12
- symmetry = No. 166

---

Record 6
This record from the Alexandria database describes crystalline Pm2TmIr at its relaxed geometry. The functional is PBE.

Unit cell a=7.263 b=9.711 c=6.389 alpha=90.00 beta=90.00 gamma=90.00
Sites, in units of the cell vectors:
Pm1 0.180 0.065 0.174
Pm2 0.180 0.435 0.174
Pm3 0.320 0.565 0.674
Pm4 0.320 0.935 0.674
Pm5 0.680 0.065 0.326
Pm6 0.680 0.435 0.326
Pm7 0.820 0.565 0.826
Pm8 0.820 0.935 0.826
Tm1 0.039 0.250 0.646
Tm2 0.461 0.750 0.146
Tm3 0.539 0.250 0.854
Tm4 0.961 0.750 0.354
Ir1 0.119 0.750 0.957
Ir2 0.381 0.250 0.457
Ir3 0.619 0.750 0.543
Ir4 0.881 0.250 0.043

Calculated values
- excess energy over the best structure of this formula in the dataset (meV per atom) = 0
- magnetization (μB/f.u.) = 0.0
- calculated formation energy (kJ/mol of formula units) = -198
- symmetry = No. 62

---

Record 7
This record from the Alexandria database describes crystalline PmTm4Ir5 at its relaxed geometry. The functional is PBE.

Unit cell a=3.327 b=3.327 c=17.852 alpha=90.00 beta=90.00 gamma=90.00
Sites, in units of the cell vectors:
Pm1 0.000 0.000 0.000
Tm1 0.000 0.000 0.205
Tm2 0.000 0.000 0.402
Tm3 0.000 0.000 0.598
Tm4 0.000 0.000 0.795
Ir1 0.500 0.500 0.109
Ir2 0.500 0.500 0.304
Ir3 0.500 0.500 0.500
Ir4 0.500 0.500 0.696
Ir5 0.500 0.500 0.891

Calculated values
- magnetization (μB/f.u.) = 0.0
- calculated formation energy (kJ/mol of formula units) = -811
- symmetry = No. 123

---

Record 8
This record from the Alexandria database describes crystalline Pm3TmIr8 at its relaxed geometry. The functional is PBE.

Unit cell a=9.349 b=9.349 c=9.349 alpha=33.59 beta=33.59 gamma=33.59
Sites, in units of the cell vectors:
Pm1 0.000 0.000 0.000
Pm2 0.125 0.125 0.125
Pm3 0.624 0.624 0.624
Tm1 0.500 0.500 0.500
Ir1 0.062 0.062 0.561
Ir2 0.062 0.561 0.062
Ir3 0.064 0.563 0.563
Ir4 0.312 0.312 0.312
Ir5 0.561 0.062 0.062
Ir6 0.563 0.064 0.563
Ir7 0.563 0.563 0.064
Ir8 0.812 0.812 0.812

Calculated values
- magnetization (μB/f.u.) = 0.0
- calculated formation energy (kJ/mol of formula units) = -867
- symmetry = No. 160

---

Record 9
This record from the Alexandria database describes crystalline PmTm3Ir at its relaxed geometry. The functional is PBE.

Unit cell a=5.378 b=5.378 c=5.378 alpha=90.00 beta=90.00 gamma=90.00
Sites, in units of the cell vectors:
Pm1 0.000 0.000 0.000
Tm1 0.000 0.500 0.500
Tm2 0.500 0.000 0.500
Tm3 0.500 0.500 0.000
Ir1 0.500 0.500 0.500

Calculated values
- excess energy over the best structure of this formula in the dataset (meV per atom) = 33
- magnetization (μB/f.u.) = 0.0
- calculated formation energy (kJ/mol of formula units) = -158
- symmetry = No. 221

---

Record 10
This record from the Alexandria database describes crystalline Pm2TmIr at its relaxed geometry. The functional is PBE.

Unit cell a=6.815 b=6.371 c=11.567 alpha=90.00 beta=90.00 gamma=90.00
Sites, in units of the cell vectors:
Pm1 0.089 0.248 0.087
Pm2 0.089 0.252 0.413
Pm3 0.411 0.748 0.413
Pm4 0.411 0.752 0.087
Pm5 0.589 0.248 0.913
Pm6 0.589 0.252 0.587
Pm7 0.911 0.748 0.587
Pm8 0.911 0.752 0.913
Tm1 0.071 0.250 0.750
Tm2 0.429 0.750 0.750
Tm3 0.571 0.250 0.250
Tm4 0.929 0.750 0.250
Ir1 0.250 0.000 0.908
Ir2 0.250 0.500 0.592
Ir3 0.750 0.000 0.092
Ir4 0.750 0.500 0.408

Calculated values
- excess energy over the best structure of this formula in the dataset (meV per atom) = 94
- magnetization (μB/f.u.) = 0.0
- calculated formation energy (kJ/mol of formula units) = -162
- symmetry = No. 52

---

Record 11
This record from the Alexandria database describes crystalline Pm2TmIr2 at its relaxed geometry. The functional is PBE.

Unit cell a=6.076 b=6.076 c=8.153 alpha=103.89 beta=103.89 gamma=56.98
Sites, in units of the cell vectors:
Pm1 0.003 0.294 0.150
Pm2 0.294 0.003 0.650
Pm3 0.706 0.997 0.350
Pm4 0.997 0.706 0.850
Tm1 0.368 0.632 0.250
Tm2 0.632 0.368 0.750
Ir1 0.211 0.507 0.495
Ir2 0.493 0.789 0.005
Ir3 0.507 0.211 0.995
Ir4 0.789 0.493 0.505

Calculated values
- magnetization (μB/f.u.) = 0.0
- calculated formation energy (kJ/mol of formula units) = -328
- symmetry = No. 15

---

Record 12
This record from the Alexandria database describes crystalline PmTmIr4 at its relaxed geometry. The functional is PBE.

Unit cell a=5.377 b=5.377 c=5.377 alpha=60.00 beta=60.00 gamma=60.00
Sites, in units of the cell vectors:
Pm1 0.000 0.000 0.000
Tm1 0.750 0.750 0.750
Ir1 0.375 0.375 0.375
Ir2 0.375 0.375 0.874
Ir3 0.375 0.874 0.375
Ir4 0.874 0.375 0.375

Calculated values
- magnetization (μB/f.u.) = 0.0
- calculated formation energy (kJ/mol of formula units) = -447
- symmetry = No. 216

---

Record 13
This record from the Alexandria database describes crystalline Pm4UIr3 at its relaxed geometry. The functional is PBE.

Unit cell a=8.559 b=8.559 c=8.559 alpha=97.07 beta=97.07 gamma=138.93
Sites, in units of the cell vectors:
Pm1 0.085 0.789 0.873
Pm2 0.211 0.085 0.296
Pm3 0.289 0.585 0.873
Pm4 0.415 0.289 0.704
Pm5 0.585 0.711 0.296
Pm6 0.711 0.415 0.127
Pm7 0.789 0.915 0.704
Pm8 0.915 0.211 0.127
U1 0.250 0.750 0.500
U2 0.750 0.250 0.500
Ir1 0.145 0.355 0.500
Ir2 0.250 0.250 0.000
Ir3 0.355 0.855 0.210
Ir4 0.645 0.145 0.790
Ir5 0.750 0.750 0.000
Ir6 0.855 0.645 0.500

Calculated values
- magnetization (μB/f.u.) = 2.6
- calculated formation energy (kJ/mol of formula units) = -437
- symmetry = No. 140

---

Record 14
This record from the Alexandria database describes crystalline PmU2Ir9 at its relaxed geometry. The functional is PBE.

Unit cell a=9.291 b=9.291 c=9.291 alpha=33.15 beta=33.15 gamma=33.15
Sites, in units of the cell vectors:
Pm1 0.000 0.000 0.000
U1 0.140 0.140 0.140
U2 0.860 0.860 0.860
Ir1 0.081 0.585 0.585
Ir2 0.333 0.333 0.333
Ir3 0.415 0.415 0.919
Ir4 0.415 0.919 0.415
Ir5 0.500 0.500 0.500
Ir6 0.585 0.081 0.585
Ir7 0.585 0.585 0.081
Ir8 0.667 0.667 0.667
Ir9 0.919 0.415 0.415

Calculated values
- magnetization (μB/f.u.) = 3.1
- calculated formation energy (kJ/mol of formula units) = -543
- symmetry = No. 166

---

Record 15
This record from the Alexandria database describes crystalline PmIrW at its relaxed geometry. The functional is PBE.

Unit cell a=3.231 b=3.231 c=24.449 alpha=90.00 beta=90.00 gamma=90.00
Sites, in units of the cell vectors:
Pm1 0.000 0.000 0.073
Pm2 0.000 0.000 0.927
Pm3 0.500 0.500 0.427
Pm4 0.500 0.500 0.573
Ir1 0.000 0.000 0.340
Ir2 0.000 0.000 0.660
Ir3 0.500 0.500 0.160
Ir4 0.500 0.500 0.840
W1 0.000 0.000 0.215
W2 0.000 0.000 0.785
W3 0.500 0.500 0.285
W4 0.500 0.500 0.715

Calculated values
- magnetization (μB/f.u.) = 0.0
- calculated formation energy (kJ/mol of formula units) = 2
- symmetry = No. 139

---

Record 16
This record from the Alexandria database describes crystalline PmIr2W at its relaxed geometry. The functional is PBE.

Unit cell a=3.004 b=3.004 c=7.963 alpha=90.00 beta=90.00 gamma=90.00
Sites, in units of the cell vectors:
Pm1 0.000 0.000 0.000
Ir1 0.500 0.500 0.290
Ir2 0.500 0.500 0.710
W1 0.000 0.000 0.500

Calculated values
- magnetization (μB/f.u.) = 0.0
- calculated formation energy (kJ/mol of formula units) = -97
- symmetry = No. 123

---

Record 17
This record from the Alexandria database describes crystalline Pm2YIr2 at its relaxed geometry. The functional is PBE.

Unit cell a=4.902 b=4.908 c=10.447 alpha=90.00 beta=90.00 gamma=90.00
Sites, in units of the cell vectors:
Pm1 0.250 0.250 0.002
Pm2 0.250 0.250 0.668
Pm3 0.750 0.750 0.332
Pm4 0.750 0.750 0.998
Y1 0.250 0.250 0.339
Y2 0.750 0.750 0.661
Ir1 0.250 0.750 0.494
Ir2 0.250 0.750 0.838
Ir3 0.750 0.250 0.162
Ir4 0.750 0.250 0.506

Calculated values
- excess energy over the best structure of this formula in the dataset (meV per atom) = 0
- magnetization (μB/f.u.) = 0.0
- calculated formation energy (kJ/mol of formula units) = -313
- symmetry = No. 59

---

Record 18
This record from the Alexandria database describes crystalline Pm8YIr6 at its relaxed geometry. The functional is PBE.

Unit cell a=7.861 b=7.861 c=7.861 alpha=65.10 beta=65.10 gamma=65.10
Sites, in units of the cell vectors:
Pm1 0.061 0.719 0.385
Pm2 0.168 0.168 0.168
Pm3 0.281 0.615 0.939
Pm4 0.385 0.061 0.719
Pm5 0.615 0.939 0.281
Pm6 0.719 0.385 0.061
Pm7 0.832 0.832 0.832
Pm8 0.939 0.281 0.615
Y1 0.500 0.500 0.500
Ir1 0.111 0.444 0.775
Ir2 0.225 0.889 0.556
Ir3 0.444 0.775 0.111
Ir4 0.556 0.225 0.889
Ir5 0.775 0.111 0.444
Ir6 0.889 0.556 0.225

Calculated values
- magnetization (μB/f.u.) = 0.0
- calculated formation energy (kJ/mol of formula units) = -929
- symmetry = No. 148

---

Record 19
This record from the Alexandria database describes crystalline Pm2YIr at its relaxed geometry. The functional is PBE.

Unit cell a=3.806 b=3.806 c=32.010 alpha=90.00 beta=90.00 gamma=120.00
Sites, in units of the cell vectors:
Pm1 0.000 0.000 0.112
Pm2 0.000 0.000 0.888
Pm3 0.333 0.667 0.554
Pm4 0.333 0.667 0.779
Pm5 0.667 0.333 0.221
Pm6 0.667 0.333 0.446
Y1 0.000 0.000 0.000
Y2 0.333 0.667 0.667
Y3 0.667 0.333 0.333
Ir1 0.000 0.000 0.500
Ir2 0.333 0.667 0.167
Ir3 0.667 0.333 0.833

Calculated values
- excess energy over the best structure of this formula in the dataset (meV per atom) = 437
- magnetization (μB/f.u.) = 0.6
- calculated formation energy (kJ/mol of formula units) = -24
- symmetry = No. 166

---

Record 20
This record from the Alexandria database describes crystalline Pm3YIr3 at its relaxed geometry. The functional is PBE.

Unit cell a=6.031 b=6.031 c=6.031 alpha=109.27 beta=109.27 gamma=109.27
Sites, in units of the cell vectors:
Pm1 0.000 0.500 0.500
Pm2 0.500 0.000 0.500
Pm3 0.500 0.500 0.000
Y1 0.000 0.000 0.000
Ir1 0.000 0.000 0.500
Ir2 0.000 0.500 0.000
Ir3 0.500 0.000 0.000

Calculated values
- excess energy over the best structure of this formula in the dataset (meV per atom) = 0
- magnetization (μB/f.u.) = 0.0
- calculated formation energy (kJ/mol of formula units) = -396
- symmetry = No. 166